[1]
This record from the Alexandria database describes Dy6Cd3In after structural relaxation. The functional is PBE-GGA.

Results
For the magnetic moment, the calculation gives 0.00 μB per cell. The calculated volume is 548 Å³/cell. The value obtained for the formation energy is -245 kJ/mol of formula units. Its total energy is -3.5639 eV/atom.

a b c (Å): 5.269 9.365 11.594
angles (deg): 106.83 90.00 90.00
Sites, in units of the cell vectors:
Dy (0.250, 0.462, 0.090)
Dy (0.250, 0.104, 0.882)
Dy (0.250, 0.653, 0.677)
Dy (0.750, 0.538, 0.910)
Dy (0.750, 0.870, 0.832)
Dy (0.750, 0.750, 0.501)
Dy (0.250, 0.836, 0.307)
Dy (0.250, 0.250, 0.499)
Dy (0.750, 0.164, 0.693)
Dy (0.250, 0.130, 0.168)
Dy (0.750, 0.896, 0.118)
Dy (0.750, 0.347, 0.323)
In (0.250, 0.954, 0.605)
In (0.750, 0.046, 0.395)
Cd (0.250, 0.774, 0.972)
Cd (0.750, 0.617, 0.216)
Cd (0.750, 0.471, 0.621)
Cd (0.750, 0.226, 0.028)
Cd (0.250, 0.383, 0.784)
Cd (0.250, 0.529, 0.379)



[2]
This record from the Alexandria database describes DyCdIn after structural relaxation. The functional is PBE-GGA.

Results
For the magnetic moment, the calculation gives 0.00 μB per cell. The calculated volume is 153 Å³/cell. The value obtained for the formation energy is -111 kJ/mol of formula units. Its total energy is -3.1361 eV/atom.

a b c (Å): 4.869 4.869 7.437
angles (deg): 90.00 90.00 120.00
Sites, in units of the cell vectors:
In (0.667, 0.333, 0.946)
In (0.333, 0.667, 0.054)
Cd (0.667, 0.333, 0.525)
Cd (0.333, 0.667, 0.475)
Dy (0.000, 0.000, 0.262)
Dy (0.000, 0.000, 0.738)



[3]
This record from the Alexandria database describes Dy2Cd3In2 after structural relaxation. The functional is PBE-GGA.

Results
For the magnetic moment, the calculation gives 0.00 μB per cell. The calculated volume is 175 Å³/cell. The value obtained for the formation energy is -191 kJ/mol of formula units. Its total energy is -2.7718 eV/atom. The relative energy among the computed polymorphs comes out at 0 meV/atom.

a b c (Å): 4.692 6.066 7.178
angles (deg): 109.92 90.00 112.76
Sites, in units of the cell vectors:
In (0.848, 0.696, 0.775)
In (0.152, 0.304, 0.225)
Cd (0.500, 0.000, 0.000)
Cd (0.400, 0.801, 0.569)
Cd (0.600, 0.199, 0.431)
Dy (0.851, 0.701, 0.235)
Dy (0.149, 0.299, 0.765)



[4]
This record from the Alexandria database describes Dy5Cd2In after structural relaxation. The functional is PBE-GGA.

Results
For the magnetic moment, the calculation gives 0.00 μB per cell. The calculated volume is 452 Å³/cell. The value obtained for the formation energy is -186 kJ/mol of formula units. Its total energy is -3.6889 eV/atom.

a b c (Å): 8.308 8.308 8.797
angles (deg): 118.18 118.18 90.00
Sites, in units of the cell vectors:
Dy (0.692, 0.192, 0.693)
Dy (0.501, 0.692, 0.693)
Dy (0.500, 0.500, 0.000)
Dy (0.808, 0.999, 0.307)
Dy (0.499, 0.308, 0.307)
Dy (0.999, 0.499, 0.307)
Dy (0.192, 0.001, 0.693)
Dy (0.000, 0.000, 0.000)
Dy (0.001, 0.501, 0.693)
Dy (0.308, 0.808, 0.307)
In (0.750, 0.750, 0.500)
In (0.250, 0.250, 0.500)
Cd (0.137, 0.363, 0.000)
Cd (0.637, 0.137, 0.000)
Cd (0.363, 0.863, 0.000)
Cd (0.863, 0.637, 0.000)



[5]
This record from the Alexandria database describes Dy8Cd2In after structural relaxation. The functional is PBE-GGA.

Results
For the magnetic moment, the calculation gives 0.00 μB per cell. The calculated volume is 323 Å³/cell. The value obtained for the formation energy is -158 kJ/mol of formula units. Its total energy is -3.9112 eV/atom. The relative energy among the computed polymorphs comes out at 49 meV/atom.

a b c (Å): 5.208 7.302 9.317
angles (deg): 107.72 106.23 90.00
Sites, in units of the cell vectors:
Dy (0.191, 0.288, 0.382)
Dy (0.408, 0.538, 0.815)
Dy (0.592, 0.462, 0.185)
Dy (0.809, 0.712, 0.618)
Dy (0.331, 0.043, 0.663)
Dy (0.025, 0.759, 0.050)
Dy (0.669, 0.957, 0.337)
Dy (0.975, 0.241, 0.950)
Cd (0.187, 0.697, 0.375)
Cd (0.813, 0.303, 0.625)
In (0.500, 0.000, 0.000)



[6]
This record from the Alexandria database describes Dy2CdIn9 after structural relaxation. The functional is PBE-GGA.

Results
For the magnetic moment, the calculation gives 0.00 μB per cell. The calculated volume is 304 Å³/cell. The value obtained for the formation energy is -269 kJ/mol of formula units. Its total energy is -3.1295 eV/atom.

a b c (Å): 4.676 4.676 13.897
angles (deg): 90.00 90.00 90.00
Sites, in units of the cell vectors:
In (0.500, 0.000, 0.163)
In (0.000, 0.500, 0.837)
In (0.500, 0.000, 0.837)
In (0.000, 0.500, 0.163)
In (0.500, 0.500, 0.335)
In (0.500, 0.500, 0.665)
In (0.000, 0.500, 0.500)
In (0.500, 0.000, 0.500)
In (0.500, 0.500, 0.000)
Cd (0.000, 0.000, 0.000)
Dy (0.000, 0.000, 0.664)
Dy (0.000, 0.000, 0.336)



[7]
This record from the Alexandria database describes Dy11Cd4In9 after structural relaxation. The functional is PBE-GGA.

Results
For the magnetic moment, the calculation gives 0.00 μB per cell. The calculated volume is 630 Å³/cell. The value obtained for the formation energy is -899 kJ/mol of formula units. Its total energy is -3.6768 eV/atom.

a b c (Å): 3.753 13.479 13.479
angles (deg): 112.50 90.00 90.00
Sites, in units of the cell vectors:
In (0.500, 0.944, 0.789)
In (0.500, 0.500, 0.500)
In (0.500, 0.630, 0.153)
In (0.500, 0.789, 0.944)
In (0.500, 0.370, 0.847)
In (0.500, 0.847, 0.370)
In (0.500, 0.211, 0.056)
In (0.500, 0.056, 0.211)
In (0.500, 0.153, 0.630)
Dy (0.000, 0.941, 0.590)
Dy (0.000, 0.837, 0.163)
Dy (0.000, 0.000, 0.000)
Dy (0.000, 0.163, 0.837)
Dy (0.000, 0.276, 0.276)
Dy (0.000, 0.640, 0.360)
Dy (0.000, 0.360, 0.640)
Dy (0.000, 0.724, 0.724)
Dy (0.000, 0.590, 0.941)
Dy (0.000, 0.410, 0.059)
Dy (0.000, 0.059, 0.410)
Cd (0.500, 0.747, 0.553)
Cd (0.500, 0.553, 0.747)
Cd (0.500, 0.447, 0.253)
Cd (0.500, 0.253, 0.447)



[8]
This record from the Alexandria database describes DyCd2In3 after structural relaxation. The functional is PBE-GGA.

Results
For the magnetic moment, the calculation gives 0.00 μB per cell. The calculated volume is 146 Å³/cell. The value obtained for the formation energy is -130 kJ/mol of formula units. Its total energy is -2.6659 eV/atom.

a b c (Å): 4.566 4.608 7.323
angles (deg): 108.34 90.00 90.00
Sites, in units of the cell vectors:
Cd (0.000, 0.329, 0.657)
Cd (0.000, 0.671, 0.343)
Dy (0.000, 0.000, 0.000)
In (0.500, 0.170, 0.339)
In (0.500, 0.500, 0.000)
In (0.500, 0.830, 0.661)



[9]
This record from the Alexandria database describes DyCd6In after structural relaxation. The functional is PBE-GGA.

Results
For the magnetic moment, the calculation gives 0.00 μB per cell. The calculated volume is 189 Å³/cell. The value obtained for the formation energy is -106 kJ/mol of formula units. Its total energy is -1.7414 eV/atom.

a b c (Å): 4.801 6.389 6.389
angles (deg): 105.56 90.00 90.00
Sites, in units of the cell vectors:
Cd (0.500, 0.940, 0.060)
Cd (0.000, 0.048, 0.349)
Cd (0.000, 0.651, 0.952)
Cd (0.500, 0.856, 0.562)
Cd (0.000, 0.562, 0.438)
Cd (0.500, 0.438, 0.144)
Dy (0.000, 0.140, 0.860)
In (0.500, 0.364, 0.636)



[10]
This record from the Alexandria database describes DyCd11In after structural relaxation. The functional is PBE-GGA.

Results
For the magnetic moment, the calculation gives 0.00 μB per cell. The calculated volume is 301 Å³/cell. The value obtained for the formation energy is -56 kJ/mol of formula units. Its total energy is -1.3838 eV/atom.

a b c (Å): 5.997 7.664 7.700
angles (deg): 81.35 67.08 67.27
Sites, in units of the cell vectors:
Cd (0.719, 0.792, 0.789)
Cd (0.000, 0.500, 0.000)
Cd (0.000, 0.000, 0.500)
Cd (0.995, 0.650, 0.354)
Cd (0.281, 0.208, 0.211)
Cd (0.500, 0.000, 0.500)
Cd (0.005, 0.350, 0.646)
Cd (0.651, 0.350, 0.354)
Cd (0.492, 0.208, 0.789)
Cd (0.349, 0.650, 0.646)
Cd (0.508, 0.792, 0.211)
In (0.500, 0.500, 0.000)
Dy (0.000, 0.000, 0.000)



[11]
This record from the Alexandria database describes Dy2CdIn after structural relaxation. The functional is PBE-GGA.

Results
For the magnetic moment, the calculation gives 0.00 μB per cell. The calculated volume is 106 Å³/cell. The value obtained for the formation energy is -156 kJ/mol of formula units. Its total energy is -3.6190 eV/atom. The relative energy among the computed polymorphs comes out at 3 meV/atom.

a b c (Å): 3.724 5.323 5.323
angles (deg): 90.00 90.00 90.00
Sites, in units of the cell vectors:
Dy (0.000, 0.500, 0.000)
Dy (0.000, 0.000, 0.500)
Cd (0.500, 0.000, 0.000)
In (0.500, 0.500, 0.500)



[12]
This record from the Alexandria database describes Dy2CdIn4 after structural relaxation. The functional is PBE-GGA.

Results
For the magnetic moment, the calculation gives 0.00 μB per cell. The calculated volume is 188 Å³/cell. The value obtained for the formation energy is -185 kJ/mol of formula units. Its total energy is -3.2850 eV/atom.

a b c (Å): 4.510 6.467 6.467
angles (deg): 87.08 90.00 90.00
Sites, in units of the cell vectors:
Dy (0.000, 0.762, 0.238)
Dy (0.000, 0.238, 0.762)
In (0.000, 0.251, 0.251)
In (0.000, 0.749, 0.749)
In (0.500, 0.500, 0.000)
In (0.500, 0.000, 0.500)
Cd (0.500, 0.500, 0.500)